Below is Al2NiF after structural relaxation, with properties calculated at the GGA+U level.

Calculated values
Energy   -3.24 eV/atom
Symmetry   Fm-3m, No. 225
Crystal system   cubic
Theoretical density   4.189 Mg/m³

```
4
Lattice="0.000 2.966 2.966 2.966 0.000 2.966 2.966 2.966 0.000" Properties=species:S:1:pos:R:3 pbc="T T T"
Al 1.483 1.483 1.483
Al 4.449 4.449 4.449
Ni 0.000 0.000 0.000
F 2.966 2.966 2.966
```